DFT (PBE with a Hubbard U) results for crystalline Fe3O2F4 at its relaxed geometry.

Lattice parameters (Å, degrees): 8.999 7.044 7.244 90.00 111.98 90.00
Space group C2/m (No. 12)
Symmetry-distinct sites (fractional):
Fe 0.000 0.000 0.000 (multiplicity 2)
Fe 0.000 0.000 0.500 (multiplicity 2)
Fe 0.148 0.500 0.172 (multiplicity 4)
Fe 0.167 0.500 0.660 (multiplicity 4)
O 0.075 0.500 0.873 (multiplicity 4)
O 0.228 0.000 0.537 (multiplicity 4)
F 0.000 0.291 0.500 (multiplicity 4)
F 0.104 0.000 0.800 (multiplicity 4)
F 0.167 0.204 0.172 (multiplicity 8)

## Properties
DFT total energy in eV per atom: -5.8194
ρ in g cm⁻³: 4.30
Size of the total moment in μB per atom: 1.556